No. 1
Below is a relaxed Zr2BeHOs crystal, with properties calculated at the PBE level.

* VASP energy: -7.32 eV per atom
* crystal system: tetragonal

```
Zr2BeHOs
1.0
4.530 0.000 0.000
0.000 4.530 0.000
0.000 0.000 3.392
Zr Be H Os
2 1 1 1
Direct
0.000 0.500 0.000
0.500 0.000 0.000
0.000 0.000 0.500
0.000 0.000 0.000
0.500 0.500 0.500
```

***

No. 2
Below is a relaxed CrMo3 crystal, with properties calculated at the PBE level.

* crystal system: hexagonal
* ΔH_f (0 K): 0.441 eV per atom

```
CrMo3
1.0
5.427 0.000 0.000
-2.714 4.700 0.000
0.000 0.000 4.787
Cr Mo
2 6
Direct
0.333 0.667 0.250
0.667 0.333 0.750
0.168 0.336 0.750
0.168 0.832 0.750
0.336 0.168 0.250
0.664 0.832 0.750
0.832 0.168 0.250
0.832 0.664 0.250
```

***

No. 3
Below is a relaxed CaSiMo2 crystal, with properties calculated at the PBE level.

* crystal system: orthorhombic
* raw formation energy: 0.262 eV/atom

```
CaSiMo2
1.0
1.732 -2.299 0.000
1.732 2.299 0.000
0.000 0.000 8.955
Ca Si Mo
1 1 2
Direct
0.000 0.000 0.000
0.500 0.500 0.728
0.000 0.000 0.521
0.500 0.500 0.289
```

***

No. 4
Below is a relaxed MnZnAg2 crystal, with properties calculated at the PBE level.

* crystal system: monoclinic
* ΔH_f (0 K): 0.142 eV per atom

```
MnZnAg2
1.0
4.687 -1.452 0.000
4.687 1.452 0.000
-0.935 0.000 4.805
Mn Zn Ag
1 1 2
Direct
0.000 0.000 0.000
0.500 0.500 0.500
0.249 0.249 0.750
0.751 0.751 0.250
```